Version 1
A plane-wave DFT calculation with GGA-PBE was carried out for a relaxed structure of Ca2TaMo.

## Properties
Calculated density   6.78 Mg/m³

Cell: 2.8743 2.8743 10.5874 Å, 90.00 90.00 90.00°
With the nearest neighbours (Å) after each atom.
Fractional coordinates of all 4 atoms:
Ca1 0.0000 0.0000 0.2415  4 Ca 2.87
Ca2 0.0000 0.0000 0.7585  4 Ca 2.87
Ta1 0.5000 0.5000 0.5000  4 Ta 2.87
Mo1 0.5000 0.5000 0.0000  4 Mo 2.87

=====

Version 2
A plane-wave DFT calculation with GGA-PBE was carried out for a relaxed structure of Ca2TaMo.

## Properties
Calculated density   6.78 Mg/m³

Cell: 2.9212 5.3211 5.6989 Å, 90.00 99.13 90.00°
With the nearest neighbours (Å) after each atom.
Fractional coordinates of all 4 atoms:
Ca1 0.0133 0.0000 0.2530  4 Ca 2.83-2.92
Ca2 0.9867 0.0000 0.7470  4 Ca 2.83-2.92
Ta1 0.5000 0.5000 0.0000  2 Mo 2.85, 2 Ta 2.92
Mo1 0.5000 0.5000 0.5000  2 Ta 2.85, 2 Mo 2.92

=====

It is version 2 that is the most stable of them.